(1)
ScPaTiN3 PBE optimized geometry; D(E_F) = 0.538 states/eV/atom; ΔE_f (raw) = -1.43 eV per atom; final energy = -114.53 eV per cell; size of the total moment = 0.00 Bohr magnetons per cell
1.0
-1.102 -2.037 -2.175
5.907 -3.325 0.121
-3.439 -4.275 5.747
N Pa Ti Sc
6 2 2 2
Direct
0.750 0.166 0.426 N
0.250 0.598 0.862 N
0.750 0.871 0.139 N
0.250 0.834 0.574 N
0.250 0.129 0.861 N
0.750 0.402 0.138 N
0.750 0.849 0.818 Pa
0.250 0.151 0.182 Pa
0.250 0.140 0.583 Ti
0.750 0.860 0.417 Ti
0.750 0.364 0.870 Sc
0.250 0.636 0.130 Sc



(2)
Tm2ScPaN4 PBE optimized geometry; D(E_F) = 0.420 states/eV/atom; ΔE_f (raw) = -1.77 eV per atom; final energy = -72.21 eV per cell; size of the total moment = 0.00 Bohr magnetons per cell
1.0
3.404 0.000 0.000
0.000 5.851 -0.147
0.000 2.031 5.462
N Tm Pa Sc
4 2 1 1
Direct
0.500 0.745 0.247 N
0.000 0.261 0.249 N
0.000 0.739 0.751 N
0.500 0.255 0.753 N
0.000 0.000 0.000 Tm
0.500 0.000 0.500 Tm
0.000 0.500 0.500 Pa
0.500 0.500 0.000 Sc



(3)
Sc2UPaN4 PBE optimized geometry; D(E_F) = 0.696 states/eV/atom; ΔE_f (raw) = -1.63 eV per atom; final energy = -79.80 eV per cell; size of the total moment = 1.16 Bohr magnetons per cell
1.0
3.309 0.000 0.000
0.000 5.874 -0.170
0.000 2.012 5.358
U N Sc Pa
1 4 2 1
Direct
0.500 0.500 0.000 U
0.000 0.235 0.251 N
0.500 0.234 0.759 N
0.000 0.765 0.749 N
0.500 0.766 0.241 N
0.000 0.000 0.000 Sc
0.500 0.000 0.500 Sc
0.000 0.500 0.500 Pa



(4)
Sc2PaVN4 PBE optimized geometry; D(E_F) = 0.727 states/eV/atom; ΔE_f (raw) = -1.43 eV per atom; final energy = -152.05 eV per cell; size of the total moment = 0.00 Bohr magnetons per cell
1.0
-2.741 -1.665 -0.253
4.177 -3.452 -2.075
1.583 -4.136 10.066
N Sc Pa V
8 4 2 2
Direct
0.266 0.532 0.377 N
0.734 0.468 0.623 N
0.451 0.901 0.750 N
0.000 0.000 0.000 N
0.000 0.000 0.500 N
0.734 0.468 0.877 N
0.266 0.532 0.123 N
0.549 0.099 0.250 N
0.629 0.258 0.040 Sc
0.371 0.742 0.960 Sc
0.629 0.258 0.460 Sc
0.371 0.742 0.540 Sc
0.109 0.219 0.750 Pa
0.891 0.781 0.250 Pa
0.846 0.691 0.750 V
0.154 0.309 0.250 V



(5)
Sc2PaWN6 PBE optimized geometry; D(E_F) = 0.486 states/eV/atom; ΔE_f (raw) = -1.06 eV per atom; final energy = -95.62 eV per cell; size of the total moment = 0.00 Bohr magnetons per cell
1.0
-4.133 3.199 -1.778
-4.878 -2.246 -1.261
-4.483 0.957 3.562
N Pa Sc W
6 1 2 1
Direct
0.407 0.705 0.748 N
0.961 0.586 0.247 N
0.139 0.408 0.748 N
0.586 0.207 0.247 N
0.206 0.961 0.247 N
0.705 0.139 0.749 N
0.801 0.800 0.598 Pa
0.023 0.023 0.931 Sc
0.525 0.525 0.424 Sc
0.308 0.308 0.076 W



(6)
ScPa2WN6 PBE optimized geometry; D(E_F) = 0.569 states/eV/atom; ΔE_f (raw) = -1.14 eV per atom; final energy = -99.63 eV per cell; size of the total moment = 0.80 Bohr magnetons per cell
1.0
5.052 0.000 0.000
0.000 5.327 0.000
0.000 0.000 5.327
N Pa W Sc
6 2 1 1
Direct
0.160 0.500 0.500 N
0.739 0.758 0.242 N
0.739 0.242 0.758 N
0.215 0.000 0.000 N
0.739 0.242 0.242 N
0.739 0.758 0.758 N
0.985 0.500 0.000 Pa
0.985 0.000 0.500 Pa
0.582 0.000 0.000 W
0.563 0.500 0.500 Sc



(7)
Y3ScPa3N8 PBE optimized geometry; D(E_F) = 0.373 states/eV/atom; ΔE_f (raw) = -1.57 eV per atom; final energy = -144.31 eV per cell; size of the total moment = 0.00 Bohr magnetons per cell
1.0
6.886 0.000 0.000
-3.443 5.964 -0.021
0.000 -3.956 5.620
Y N Sc Pa
3 8 1 3
Direct
0.000 0.500 0.000 Y
0.500 0.500 0.000 Y
0.000 0.000 0.000 Y
0.749 0.981 0.714 N
0.252 0.503 0.255 N
0.768 0.536 0.286 N
0.768 0.019 0.286 N
0.251 0.019 0.286 N
0.748 0.497 0.745 N
0.232 0.464 0.714 N
0.232 0.981 0.714 N
0.000 0.000 0.500 Sc
0.500 0.500 0.500 Pa
0.000 0.500 0.500 Pa
0.500 0.000 0.500 Pa



(8)
YSc2PaN4 PBE optimized geometry; D(E_F) = 0.397 states/eV/atom; ΔE_f (raw) = -1.74 eV per atom; final energy = -75.84 eV per cell; size of the total moment = 0.00 Bohr magnetons per cell
1.0
3.367 0.000 0.000
0.000 5.779 -0.119
0.000 2.028 5.451
N Pa Y Sc
4 1 1 2
Direct
0.500 0.764 0.250 N
0.000 0.758 0.735 N
0.000 0.242 0.265 N
0.500 0.236 0.750 N
0.000 0.500 0.500 Pa
0.500 0.500 0.000 Y
0.500 0.000 0.500 Sc
0.000 0.000 0.000 Sc



(9)
ZrScPa2N6 PBE optimized geometry; D(E_F) = 0.771 states/eV/atom; ΔE_f (raw) = -1.44 eV per atom; final energy = -98.18 eV per cell; size of the total moment = 0.00 Bohr magnetons per cell
1.0
5.764 0.000 0.000
2.882 4.991 0.000
2.882 1.664 4.878
N Sc Pa Zr
6 1 2 1
Direct
0.926 0.622 0.252 N
0.700 0.117 0.751 N
0.200 0.926 0.252 N
0.117 0.432 0.751 N
0.432 0.700 0.751 N
0.622 0.200 0.252 N
0.307 0.307 0.078 Sc
0.527 0.527 0.418 Pa
0.026 0.026 0.923 Pa
0.805 0.805 0.586 Zr



(10)
Zr2Sc3PaN6 PBE optimized geometry; D(E_F) = 0.266 states/eV/atom; ΔE_f (raw) = -1.79 eV per atom; final energy = -116.98 eV per cell; size of the total moment = 0.00 Bohr magnetons per cell
1.0
3.279 0.000 0.000
0.000 6.566 0.234
-1.640 -1.894 6.890
N Sc Zr Pa
6 3 2 1
Direct
0.334 0.412 0.668 N
0.000 0.257 0.999 N
0.000 0.743 0.001 N
0.332 0.916 0.664 N
0.668 0.084 0.336 N
0.666 0.588 0.332 N
0.171 0.828 0.342 Sc
0.829 0.172 0.658 Sc
0.500 0.500 0.000 Sc
0.171 0.344 0.342 Zr
0.829 0.656 0.658 Zr
0.500 0.000 0.000 Pa



(11)
Zr3ScPa3N8 PBE optimized geometry; D(E_F) = 0.566 states/eV/atom; ΔE_f (raw) = -1.61 eV per atom; final energy = -151.20 eV per cell; size of the total moment = 0.00 Bohr magnetons per cell
1.0
6.593 0.000 0.000
-3.296 5.709 -0.020
0.000 -3.787 5.590
N Sc Zr Pa
8 1 3 3
Direct
0.744 0.487 0.731 N
0.763 0.526 0.267 N
0.241 0.004 0.267 N
0.237 0.996 0.733 N
0.237 0.474 0.733 N
0.256 0.513 0.269 N
0.759 0.996 0.733 N
0.763 0.004 0.267 N
0.000 0.000 0.500 Sc
0.500 0.500 0.500 Zr
0.500 0.000 0.500 Zr
0.000 0.500 0.500 Zr
0.500 0.500 0.000 Pa
0.000 0.500 0.000 Pa
0.000 0.000 0.000 Pa



(12)
Zr3ScPa2N6 PBE optimized geometry; D(E_F) = 0.357 states/eV/atom; ΔE_f (raw) = -1.71 eV per atom; final energy = -121.44 eV per cell; size of the total moment = 0.00 Bohr magnetons per cell
1.0
5.792 0.002 0.001
-2.893 5.017 0.001
-0.967 -1.674 5.454
Zr N Sc Pa
3 6 1 2
Direct
0.161 0.839 0.500 Zr
0.500 0.500 0.500 Zr
0.839 0.161 0.500 Zr
0.242 0.242 0.746 N
0.587 0.916 0.746 N
0.758 0.758 0.254 N
0.084 0.413 0.254 N
0.916 0.587 0.746 N
0.413 0.084 0.254 N
0.000 0.000 0.000 Sc
0.334 0.666 0.000 Pa
0.666 0.334 0.000 Pa



(13)
ZrSc3Pa2N6 PBE optimized geometry; D(E_F) = 0.483 states/eV/atom; ΔE_f (raw) = -1.73 eV per atom; final energy = -117.27 eV per cell; size of the total moment = 0.00 Bohr magnetons per cell
1.0
3.315 0.000 0.000
0.000 6.668 0.244
-1.658 -1.917 6.989
Sc N Zr Pa
3 6 1 2
Direct
0.500 0.500 0.000 Sc
0.162 0.834 0.324 Sc
0.838 0.166 0.676 Sc
0.001 0.750 0.001 N
0.338 0.407 0.676 N
0.334 0.925 0.668 N
0.999 0.250 0.999 N
0.662 0.593 0.324 N
0.666 0.075 0.332 N
0.500 0.000 0.000 Zr
0.166 0.330 0.331 Pa
0.834 0.670 0.669 Pa



(14)
Zr3Sc2PaN6 PBE optimized geometry; D(E_F) = 0.406 states/eV/atom; ΔE_f (raw) = -1.77 eV per atom; final energy = -118.98 eV per cell; size of the total moment = 0.00 Bohr magnetons per cell
1.0
5.696 -0.010 0.006
-2.856 4.929 0.006
-0.942 -1.630 5.392
Sc N Zr Pa
2 6 3 1
Direct
0.668 0.332 0.000 Sc
0.332 0.668 0.000 Sc
0.253 0.253 0.753 N
0.420 0.083 0.249 N
0.917 0.580 0.751 N
0.580 0.917 0.751 N
0.083 0.420 0.249 N
0.747 0.747 0.247 N
0.172 0.828 0.500 Zr
0.828 0.172 0.500 Zr
0.500 0.500 0.500 Zr
0.000 0.000 0.000 Pa



(15)
Pa2SeN2 PBE optimized geometry; D(E_F) = 1.439 states/eV/atom; ΔE_f (raw) = -1.61 eV per atom; final energy = -47.17 eV per cell; size of the total moment = 1.74 Bohr magnetons per cell
1.0
-0.471 0.985 -3.771
-4.021 0.633 0.668
3.487 5.496 3.044
N Pa Se
2 2 1
Direct
0.738 0.738 0.476 N
0.262 0.262 0.524 N
0.335 0.835 0.669 Pa
0.665 0.165 0.331 Pa
0.000 0.000 0.000 Se



(16)
PaSeN PBE optimized geometry; D(E_F) = 0.762 states/eV/atom; ΔE_f (raw) = -0.95 eV per atom; final energy = -24.16 eV per cell; distance to the lowest polymorph of the same formula = 826 meV per atom; size of the total moment = 0.00 Bohr magnetons per cell
1.0
-1.248 -1.527 -2.566
2.605 -1.916 -0.127
-3.112 -1.806 4.628
Pa Se N
1 1 1
Direct
0.723 0.723 0.445 Pa
0.006 0.006 0.012 Se
0.272 0.272 0.543 N



(17)
Pa2Se2N PBE optimized geometry; D(E_F) = 1.481 states/eV/atom; ΔE_f (raw) = -1.52 eV per atom; final energy = -83.75 eV per cell; distance to the lowest polymorph of the same formula = 0 meV per atom; size of the total moment = 4.14 Bohr magnetons per cell
1.0
-2.316 -2.431 1.719
1.461 -5.982 -2.353
4.974 -2.469 7.349
Pa Se N
4 4 2
Direct
0.327 0.772 0.575 Pa
0.514 0.137 0.835 Pa
0.486 0.863 0.165 Pa
0.673 0.228 0.425 Pa
0.962 0.407 0.669 Se
0.038 0.593 0.331 Se
0.841 0.227 0.092 Se
0.159 0.773 0.908 Se
0.704 0.974 0.618 N
0.296 0.026 0.382 N



(18)
PaSeN PBE optimized geometry; ΔE_f (raw) = -1.69 eV per atom; final energy = -52.73 eV per cell; distance to the lowest polymorph of the same formula = 92 meV per atom; size of the total moment = 0.00 Bohr magnetons per cell
1.0
3.917 0.000 0.000
1.958 3.392 0.000
1.958 1.131 10.209
N Se Pa
2 2 2
Direct
0.640 0.640 0.080 N
0.360 0.360 0.920 N
0.895 0.895 0.316 Se
0.105 0.105 0.684 Se
0.285 0.285 0.144 Pa
0.715 0.715 0.856 Pa



(19)
PaSeN PBE optimized geometry; D(E_F) = 0.630 states/eV/atom; ΔE_f (raw) = -1.22 eV per atom; final energy = -49.91 eV per cell; distance to the lowest polymorph of the same formula = 562 meV per atom; size of the total moment = 0.17 Bohr magnetons per cell
1.0
3.732 0.000 0.000
0.000 3.732 0.000
-1.866 -1.866 8.042
Se Pa N
2 2 2
Direct
0.677 0.677 0.354 Se
0.323 0.323 0.646 Se
0.907 0.907 0.814 Pa
0.093 0.093 0.186 Pa
0.500 0.000 0.000 N
0.000 0.500 0.000 N



(20)
Pa4Se5N2 PBE optimized geometry; D(E_F) = 1.430 states/eV/atom; ΔE_f (raw) = -1.23 eV per atom; final energy = -85.63 eV per cell; size of the total moment = 3.66 Bohr magnetons per cell
1.0
3.924 0.000 0.000
0.000 7.469 0.000
-1.962 -3.734 8.382
Se Pa N
5 4 2
Direct
0.167 0.948 0.333 Se
0.833 0.615 0.667 Se
0.833 0.052 0.667 Se
0.500 0.000 0.000 Se
0.167 0.385 0.333 Se
0.000 0.715 0.000 Pa
0.322 0.322 0.644 Pa
0.000 0.285 0.000 Pa
0.678 0.678 0.356 Pa
0.541 0.541 0.083 N
0.459 0.459 0.917 N